# TaCo3O, relaxed, DFT GGA+U
# * DOS at the Fermi energy: 4.32 states/eV/cell
# * final energy: -29.72 eV/cell
data_TaCo3O
_chemical_formula_sum 'Ta1 Co3 O1'
_cell_length_a 3.814
_cell_length_b 3.814
_cell_length_c 3.814
_cell_angle_alpha 90.00
_cell_angle_beta 90.00
_cell_angle_gamma 90.00
_symmetry_space_group_name_H-M 'P m -3 m'
_symmetry_Int_Tables_number 221
_symmetry_space_group_name_Hall '-P 4 2 3'
loop_
_atom_site_label
_atom_site_type_symbol
_atom_site_fract_x
_atom_site_fract_y
_atom_site_fract_z
_atom_site_occupancy
Ta1 Ta 0.000 0.000 0.000 1
Co1 Co 0.000 0.500 0.500 1
O1 O 0.500 0.500 0.500 1